Below is RbHf2VRe after structural relaxation, with properties calculated at the PBE level.

Unit cell a=5.0641 b=5.7672 c=5.0641 alpha=90.00 beta=90.00 gamma=90.00
With the nearest neighbours (Å) after each atom.
Atoms (fractional coordinates):
Rb 0.0000 0.5000 0.0000  2 Re 2.88
Re 0.0000 0.0000 0.0000  4 Hf 2.53
V 0.5000 0.5000 0.5000  4 Rb 3.58, 8 Hf 3.84
Hf 0.0000 0.0000 0.5000  2 Re 2.53
Hf 0.5000 0.0000 0.0000  2 Re 2.53

## Properties
D(E_F) in states/eV per cell: 12.1
ΔE_f in kJ/mol of formula units: 899
Symmetry: P4/mmm (123)